DFT (PBE) results for a relaxed structure of LiFePt2.

a = 4.0061 Å, b = 4.0057 Å, c = 3.4551 Å
α = 90.00°, β = 90.00°, γ = 90.00°
Last column: magnetic moment on the atom in μB.
Fractional positions:
Pt  0.0000  0.0000  0.0000  0.34
Pt  0.5000  0.5000  0.0000  0.34
Fe  0.5000  0.0000  0.5000  3.19
Li  0.0000  0.5000  0.5000  -0.02

Results
**M_tot**: 0.9709 μB/atom
**Energy of formation from the pure elements**: -0.369 eV/atom
**Final energy**: -23.9 eV per cell